First-principles (PBE+U) data for crystalline VAu2F at its relaxed geometry, as listed in Alexandria.

N(E_F) in states/eV/f.u.: 0.857
Excess energy over the best structure of this formula in the dataset in eV/atom: 0.000
DFT total energy in eV/atom: -4.230

```
VAu2F
1.0
-3.7886 3.7886 2.5470
3.7886 -3.7886 2.5470
3.7886 3.7886 -2.5470
V Au F
2 4 2
Direct
0.0000 0.0000 0.0000
0.7500 0.2500 0.5000
0.1466 0.6250 0.0216
0.3750 0.3966 0.5216
0.6034 0.1250 0.9784
0.8750 0.8534 0.4784
0.2500 0.7500 0.5000
0.5000 0.5000 0.0000
```